KNi3Sn after structural relaxation. Source: the Alexandria database, functional PBE.

Cell: 4.569 4.569 4.569 Å, 90.00 90.00 90.00°
Space group Pm-3m (No. 221)
One atom of each set of equivalent atoms:
K (0.000, 0.000, 0.000) (multiplicity 1)
Ni (0.000, 0.000, 0.500) (multiplicity 3)
Sn (0.500, 0.500, 0.500) (multiplicity 1)

The total moment comes out at 0.0 μB/cell. The value obtained for the density is 5.8 g/cm3. The formation energy is 1715 meV per atom.


KNi2Sn2 after structural relaxation. Source: the Alexandria database, functional PBE.

Cell: 4.613 4.613 10.265 Å, 90.00 90.00 90.00°
Space group I4/mmm (No. 139)
One atom of each set of equivalent atoms:
K (0.000, 0.000, 0.000) (multiplicity 2)
Ni (0.000, 0.000, 0.378) (multiplicity 4)
Sn (0.000, 0.500, 0.250) (multiplicity 4)

The total moment comes out at 0.0 μB/cell. The value obtained for the density is 6.0 g/cm3. The formation energy is 30 meV per atom.


KNi2Sn2 after structural relaxation. Source: the Alexandria database, functional PBE.

Cell: 8.288 8.288 2.905 Å, 90.00 90.00 90.00°
Space group P4/mbm (No. 127)
One atom of each set of equivalent atoms:
K (0.000, 0.000, 0.000) (multiplicity 2)
Ni (0.147, 0.353, 0.500) (multiplicity 4)
Sn (0.138, 0.638, 0.000) (multiplicity 4)

The total moment comes out at 0.0 μB/cell. The value obtained for the density is 6.6 g/cm3. The formation energy is 86 meV per atom.


KNi2Sn8 after structural relaxation. Source: the Alexandria database, functional PBE.

Cell: 6.315 6.315 9.174 Å, 90.00 90.00 90.00°
Space group P4/mmm (No. 123)
One atom of each set of equivalent atoms:
K (0.000, 0.000, 0.000) (multiplicity 1)
Ni (0.000, 0.500, 0.500) (multiplicity 2)
Sn (0.251, 0.251, 0.332) (multiplicity 8)

The total moment comes out at 0.0 μB/cell. The value obtained for the density is 5.0 g/cm3. The formation energy is -44 meV per atom.


KNiSn2 after structural relaxation. Source: the Alexandria database, functional PBE.

Cell: 4.2609 4.2609 21.6857 Å, 90.00 90.00 120.00°
Space group R-3m (No. 166, hexagonal axes)
One atom of each set of equivalent atoms:
K (0.0000, 0.0000, 0.0000) (multiplicity 3)
Ni (0.0000, 0.0000, 0.5000) (multiplicity 3)
Sn (0.0000, 0.0000, 0.2112) (multiplicity 6)

The total moment comes out at 0.0 μB/cell. The value obtained for the density is 4.9 g/cm3. The formation energy is -193 meV per atom.


KNiSn2 after structural relaxation. Source: the Alexandria database, functional PBE.

Cell: 6.032 6.032 15.536 Å, 90.00 90.00 90.00°
Space group I4_1/amd (No. 141, origin choice 2)
One atom of each set of equivalent atoms:
K (0.000, 0.250, 0.375) (multiplicity 4)
Ni (0.000, 0.250, 0.875) (multiplicity 4)
Sn (0.000, 0.000, 0.000) (multiplicity 8)

The total moment comes out at 0.0 μB/cell. The value obtained for the density is 3.9 g/cm3. The formation energy is 42 meV per atom.


KNiSn2 after structural relaxation. Source: the Alexandria database, functional PBE.

Cell: 4.2770 4.2770 21.6226 Å, 90.00 90.00 120.00°
Space group R3m (No. 160, hexagonal axes)
One atom of each set of equivalent atoms:
K (0.0000, 0.0000, 0.0000) (multiplicity 3)
Ni (0.0000, 0.0000, 0.1711) (multiplicity 3)
Sn (0.0000, 0.0000, 0.5454) (multiplicity 3)
Sn (0.0000, 0.0000, 0.7905) (multiplicity 3)

The total moment comes out at 0.0 μB/cell. The value obtained for the density is 4.9 g/cm3. The formation energy is -193 meV per atom.


KNi3Sn after structural relaxation. Source: the Alexandria database, functional PBE.

Cell: 4.868 4.868 4.868 Å, 90.00 90.00 90.00°
Space group Pm-3m (No. 221)
One atom of each set of equivalent atoms:
K (0.000, 0.000, 0.000) (multiplicity 1)
Ni (0.000, 0.500, 0.500) (multiplicity 3)
Sn (0.500, 0.500, 0.500) (multiplicity 1)

The total moment comes out at 1.0 μB/cell. The value obtained for the density is 4.8 g/cm3. The formation energy is 716 meV per atom.


KNi2Sn2 after structural relaxation. Source: the Alexandria database, functional PBE.

Cell: 8.114 8.114 3.005 Å, 90.00 90.00 90.00°
Space group P4/mbm (No. 127)
One atom of each set of equivalent atoms:
K (0.000, 0.000, 0.000) (multiplicity 2)
Ni (0.128, 0.372, 0.000) (multiplicity 4)
Sn (0.151, 0.651, 0.500) (multiplicity 4)

The total moment comes out at 0.0 μB/cell. The value obtained for the density is 6.6 g/cm3. The formation energy is 36 meV per atom.


KNiSn6 after structural relaxation. Source: the Alexandria database, functional PBE.

Cell: 4.640 4.640 10.784 Å, 90.00 90.00 90.00°
Space group P4/mmm (No. 123)
One atom of each set of equivalent atoms:
K (0.000, 0.000, 0.000) (multiplicity 1)
Ni (0.000, 0.000, 0.500) (multiplicity 1)
Sn (0.000, 0.500, 0.356) (multiplicity 4)
Sn (0.500, 0.500, 0.170) (multiplicity 2)

The total moment comes out at 0.0 μB/cell. The value obtained for the density is 5.8 g/cm3. The formation energy is -101 meV per atom.


K2Ni2Sn after structural relaxation. Source: the Alexandria database, functional PBE.

Cell: 6.592 6.592 5.603 Å, 90.00 90.00 90.00°
Space group P4/mbm (No. 127)
One atom of each set of equivalent atoms:
K (0.180, 0.320, 0.000) (multiplicity 4)
Ni (0.127, 0.627, 0.500) (multiplicity 4)
Sn (0.000, 0.000, 0.500) (multiplicity 2)

The total moment comes out at 0.0 μB/cell. The value obtained for the density is 4.3 g/cm3. The formation energy is 252 meV per atom.


KVNiSn2 after structural relaxation. Source: the Alexandria database, functional PBE.

Cell: 5.221 5.221 4.617 Å, 90.00 90.00 90.00°
Space group P4/mmm (No. 123)
One atom of each set of equivalent atoms:
K (0.000, 0.000, 0.000) (multiplicity 1)
V (0.500, 0.500, 0.500) (multiplicity 1)
Ni (0.500, 0.500, 0.000) (multiplicity 1)
Sn (0.000, 0.500, 0.500) (multiplicity 2)

The total moment comes out at 0.6 μB/cell. The value obtained for the density is 5.1 g/cm3. The formation energy is 374 meV per atom.